No. 1
DFT (PBE-GGA) results for a relaxed structure of Sr2LiSi3Pt4.

Cell: 4.324 4.324 10.000 Å, 90.00 90.00 90.00°
Space group P-4m2 (No. 115)
Asymmetric unit:
1 Sr 0.000 0.500 0.244 x2
2 Li 0.500 0.500 0.000 x1
3 Si 0.000 0.000 0.000 x1
4 Si 0.000 0.500 0.624 x2
5 Pt 0.000 0.000 0.500 x1
6 Pt 0.000 0.500 0.869 x2
7 Pt 0.500 0.500 0.500 x1

Calculated total energy ... -5.4795 eV/atom
D(E_F) ... 7.04 states/eV per cell

=====

No. 2
DFT (PBE-GGA) results for a relaxed structure of NaPuPb2.

Cell: 3.355 3.355 10.058 Å, 90.00 90.00 90.00°
Space group P4/mmm (No. 123)
Asymmetric unit:
1 Na 0.000 0.000 0.000 x1
2 Pu 0.000 0.000 0.500 x1
3 Pb 0.500 0.500 0.251 x2

Calculated total energy ... -5.9164 eV/atom
Excess energy over the best structure of this formula in the dataset ... 0 kJ/mol of formula units
D(E_F) ... 7.98 states/eV per cell

=====

No. 3
DFT (PBE-GGA) results for a relaxed structure of La6Pm12Sm.

Cell: 13.6798 13.6798 12.7834 Å, 90.00 90.00 120.00°
Space group R-3m (No. 166, hexagonal axes)
Asymmetric unit:
1 La 0.0432 0.5216 0.1139 x18
2 Pm 0.0000 0.2556 0.0000 x18
3 Pm 0.0909 0.1818 0.7637 x18
4 Sm 0.0000 0.0000 0.5000 x3

Calculated total energy ... -4.6126 eV/atom
Excess energy over the best structure of this formula in the dataset ... 130 kJ/mol of formula units
D(E_F) ... 111.76 states/eV per cell

=====

No. 4
DFT (PBE-GGA) results for a relaxed structure of Cd3In3Hg.

Cell: 9.4743 9.4743 7.1612 Å, 90.00 90.00 120.00°
Space group R3m (No. 160, hexagonal axes)
Asymmetric unit:
1 Cd 0.1796 0.3593 0.0000 x9
2 In 0.2138 0.4276 0.4145 x9
3 Hg 0.0000 0.0000 0.1196 x3

Calculated total energy ... -1.5414 eV/atom
Excess energy over the best structure of this formula in the dataset ... 4 kJ/mol of formula units
D(E_F) ... 10.21 states/eV per cell

=====

No. 5
DFT (PBE-GGA) results for a relaxed structure of TlCr4Se8.

Cell: 7.0505 7.0505 24.2339 Å, 90.00 90.00 120.00°
Space group R-3m (No. 166, hexagonal axes)
Asymmetric unit:
1 Tl 0.0000 0.0000 0.0000 x3
2 Cr 0.0000 0.0000 0.5000 x3
3 Cr 0.0000 0.5000 0.5000 x9
4 Se 0.0000 0.0000 0.2271 x6
5 Se 0.0007 0.5003 0.2270 x18

Calculated total energy ... -5.7769 eV/atom
D(E_F) ... 27.06 states/eV per cell

=====

No. 6
DFT (PBE-GGA) results for a relaxed structure of TiTcOs3.

Cell: 4.628 4.628 4.628 Å, 90.00 90.00 90.00°
Space group Pm-3m (No. 221)
Asymmetric unit:
1 Ti 0.000 0.000 0.000 x1
2 Tc 0.500 0.500 0.500 x1
3 Os 0.000 0.500 0.500 x3

Calculated total energy ... -8.5197 eV/atom
Excess energy over the best structure of this formula in the dataset ... 0 kJ/mol of formula units
D(E_F) ... 7.57 states/eV per cell